(1)
Compound: K2Fe3CoF12
Source: the Alexandria database
Functional: PBE with a Hubbard U
Structure: optimized geometry

Lattice parameters (Å, degrees): 7.2967 7.2967 7.2967 60.53 60.53 60.53
With the nearest neighbours (Å) after each atom.
Element x y z (fractional)
F1 0.6707 0.0718 0.6707  2 Fe 2.01
F2 0.9282 0.3293 0.3293  2 Fe 2.01
F3 0.0681 0.0681 0.6898  1 Co 1.91, 1 Fe 2.00
F4 0.3102 0.9319 0.9319  1 Co 1.91, 1 Fe 2.00
Fe1 0.0000 0.5000 0.0000  6 F 2.00-2.01
F5 0.3293 0.9282 0.3293  2 Fe 2.01
K1 0.6275 0.6275 0.6275  6 F 3.09-3.16
F6 0.3293 0.3293 0.9282  2 Fe 2.01
F7 0.9319 0.9319 0.3102  1 Co 1.91, 1 Fe 2.00
Fe2 0.5000 0.0000 0.0000  6 F 2.00-2.01
Co1 0.0000 0.0000 0.0000  6 F 1.91
F8 0.0681 0.6898 0.0681  1 Co 1.91, 1 Fe 2.00
F9 0.6707 0.6707 0.0718  2 Fe 2.01
F10 0.0718 0.6707 0.6707  2 Fe 2.01
K2 0.3725 0.3725 0.3725  6 F 3.09-3.16
F11 0.9319 0.3102 0.9319  1 Co 1.91, 1 Fe 2.00
Fe3 0.0000 0.0000 0.5000  6 F 2.00-2.01
F12 0.6898 0.0681 0.0681  1 Co 1.91, 1 Fe 2.00

(2)
Compound: LiFeCoF6
Source: the Alexandria database
Functional: PBE with a Hubbard U
Structure: optimized geometry

Lattice parameters (Å, degrees): 4.6626 4.6626 9.1770 90.00 90.00 90.00
With the nearest neighbours (Å) after each atom.
Element x y z (fractional)
F1 0.6905 0.6905 0.9845  1 Co 1.87, 1 Li 2.04
Fe1 0.5000 0.5000 0.1691  6 F 2.05-2.11
Co1 0.5000 0.5000 0.8331  6 F 1.87-1.89
F2 0.7847 0.2153 0.8364  1 Co 1.88, 1 Li 2.06, 1 Fe 2.09
F3 0.8095 0.1905 0.4845  1 Co 1.87, 1 Li 2.04
F4 0.2153 0.7847 0.8364  1 Co 1.88, 1 Li 2.06, 1 Fe 2.09
Li1 0.5000 0.5000 0.4985  6 F 2.04-2.07
Fe2 0.0000 0.0000 0.6691  6 F 2.05-2.11
F5 0.2847 0.2847 0.3364  1 Co 1.88, 1 Li 2.06, 1 Fe 2.09
F6 0.1892 0.8108 0.1787  1 Co 1.89, 1 Fe 2.05, 1 Li 2.07
F7 0.8108 0.1892 0.1787  1 Co 1.89, 1 Fe 2.05, 1 Li 2.07
F8 0.3108 0.3108 0.6787  1 Co 1.89, 1 Fe 2.05, 1 Li 2.07
F9 0.3095 0.3095 0.9845  1 Co 1.87, 1 Li 2.04
Li2 0.0000 0.0000 0.9985  6 F 2.04-2.07
F10 0.7153 0.7153 0.3364  1 Co 1.88, 1 Li 2.06, 1 Fe 2.09
F11 0.6892 0.6892 0.6787  1 Co 1.89, 1 Fe 2.05, 1 Li 2.07
Co2 0.0000 0.0000 0.3331  6 F 1.87-1.89
F12 0.1905 0.8095 0.4845  1 Co 1.87, 1 Li 2.04

(3)
Compound: FeCoNF2
Source: the Alexandria database
Functional: PBE with a Hubbard U
Structure: optimized geometry

Lattice parameters (Å, degrees): 3.8754 3.8754 4.1164 90.00 90.00 90.00
With the nearest neighbours (Å) after each atom.
Element x y z (fractional)
F1 0.0000 0.5000 0.0000  2 Fe 1.94
F2 0.5000 0.0000 0.0000  2 Fe 1.94
Co1 0.5000 0.5000 0.5000  4 N 2.74, 8 F 2.83
Fe1 0.0000 0.0000 0.0000  4 F 1.94, 2 N 2.06
N1 0.0000 0.0000 0.5000  2 Fe 2.06

(4)
Compound: FeCoNF2
Source: the Alexandria database
Functional: PBE with a Hubbard U
Structure: optimized geometry

Lattice parameters (Å, degrees): 3.9550 3.9550 3.6846 90.00 90.00 90.00
With the nearest neighbours (Å) after each atom.
Element x y z (fractional)
N1 0.0000 0.0000 0.5000  2 Co 1.84
F1 0.0000 0.5000 0.0000  2 Co 1.98
Fe1 0.5000 0.5000 0.5000  8 F 2.70, 4 N 2.80
F2 0.5000 0.0000 0.0000  2 Co 1.98
Co1 0.0000 0.0000 0.0000  2 N 1.84, 4 F 1.98

(5)
Compound: Na2FeCoF8
Source: the Alexandria database
Functional: PBE with a Hubbard U
Structure: optimized geometry

Lattice parameters (Å, degrees): 5.0546 5.0136 6.3159 89.95 90.05 92.49
With the nearest neighbours (Å) after each atom.
Element x y z (fractional)
F1 0.1739 0.8231 0.2504  1 Fe 2.03, 1 Co 2.03
F2 0.2627 0.2616 0.0000  1 Co 1.83
Na1 0.5000 0.5000 0.7493  6 F 2.24-2.36
Fe1 0.0000 0.0000 0.5000  6 F 1.89-2.03
F3 0.2721 0.2709 0.5000  1 Fe 1.89
F4 0.8261 0.1769 0.2501  1 Fe 2.03, 1 Co 2.03
F5 0.7279 0.7291 0.5000  1 Fe 1.89
F6 0.8261 0.1769 0.7496  1 Fe 2.03, 1 Co 2.03
F7 0.1739 0.8231 0.7499  1 Fe 2.03, 1 Co 2.03
Co1 0.0000 0.0000 0.0000  6 F 1.83-2.03
F8 0.7373 0.7384 0.0000  1 Co 1.83
Na2 0.5000 0.5000 0.2507  6 F 2.24-2.36

(6)
Compound: NaFeCoF6
Source: the Alexandria database
Functional: PBE with a Hubbard U
Structure: optimized geometry

Lattice parameters (Å, degrees): 5.3308 5.3308 9.8264 90.00 90.00 120.00
With the nearest neighbours (Å) after each atom.
Element x y z (fractional)
Fe1 0.6667 0.3333 0.7500  6 F 1.97
F1 0.9858 0.3526 0.6414  1 Fe 1.97, 1 Co 2.07
F2 0.9858 0.6332 0.8586  1 Fe 1.97, 1 Co 2.07
F3 0.6474 0.0142 0.8586  1 Fe 1.97, 1 Co 2.07
F4 0.3668 0.3526 0.8586  1 Fe 1.97, 1 Co 2.07
Co1 0.6667 0.3333 0.2500  6 F 2.07
F5 0.3526 0.3668 0.3586  1 Fe 1.97, 1 Co 2.07
F6 0.3668 0.0142 0.6414  1 Fe 1.97, 1 Co 2.07
F7 0.6474 0.6332 0.6414  1 Fe 1.97, 1 Co 2.07
F8 0.0142 0.6474 0.3586  1 Fe 1.97, 1 Co 2.07
Co2 0.3333 0.6667 0.7500  6 F 2.07
Fe2 0.3333 0.6667 0.2500  6 F 1.97
F9 0.3526 0.9858 0.1414  1 Fe 1.97, 1 Co 2.07
F10 0.6332 0.9858 0.3586  1 Fe 1.97, 1 Co 2.07
Na1 0.0000 0.0000 0.5000  6 F 2.37
F11 0.6332 0.6474 0.1414  1 Fe 1.97, 1 Co 2.07
Na2 0.0000 0.0000 0.0000  6 F 2.37
F12 0.0142 0.3668 0.1414  1 Fe 1.97, 1 Co 2.07

(7)
Compound: NaFeCo2F8
Source: the Alexandria database
Functional: PBE with a Hubbard U
Structure: optimized geometry

Lattice parameters (Å, degrees): 4.8539 4.8067 6.4790 90.00 90.00 89.49
With the nearest neighbours (Å) after each atom.
Element x y z (fractional)
F1 0.6808 0.6820 0.5000  2 Co 2.03, 1 Na 2.19
F2 0.8046 0.2008 0.2171  1 Fe 1.95, 1 Co 2.07
F3 0.1955 0.7992 0.2171  1 Fe 1.95, 1 Co 2.07
F4 0.1954 0.7992 0.7829  1 Fe 1.95, 1 Co 2.07
Co1 0.5000 0.5000 0.2526  6 F 2.03-2.15
Na1 0.0000 0.0000 0.5000  6 F 2.19-2.27
F5 0.3192 0.3180 0.5000  2 Co 2.03, 1 Na 2.19
Co2 0.5000 0.5000 0.7474  6 F 2.03-2.15
F6 0.2983 0.2930 0.0000  1 Fe 2.03, 2 Co 2.15
F7 0.8045 0.2008 0.7829  1 Fe 1.95, 1 Co 2.07
F8 0.7017 0.7070 0.0000  1 Fe 2.03, 2 Co 2.15
Fe1 0.0000 0.0000 0.0000  6 F 1.95-2.03

(8)
Compound: FeCoOF2
Source: the Alexandria database
Functional: PBE with a Hubbard U
Structure: optimized geometry

Lattice parameters (Å, degrees): 4.0058 4.0058 3.7930 90.00 90.00 90.00
With the nearest neighbours (Å) after each atom.
Element x y z (fractional)
F1 0.0000 0.5000 0.0000  2 Co 2.00
O1 0.0000 0.0000 0.5000  2 Co 1.90
Co1 0.0000 0.0000 0.0000  2 O 1.90, 4 F 2.00
Fe1 0.5000 0.5000 0.5000  8 F 2.76, 4 O 2.83
F2 0.5000 0.0000 0.0000  2 Co 2.00

(9)
Compound: FeCoOF2
Source: the Alexandria database
Functional: PBE with a Hubbard U
Structure: optimized geometry

Lattice parameters (Å, degrees): 3.9933 3.9933 3.8741 90.00 90.00 90.00
With the nearest neighbours (Å) after each atom.
Element x y z (fractional)
F1 0.0000 0.5000 0.0000  2 Fe 2.00
Co1 0.5000 0.5000 0.5000  8 F 2.78, 4 O 2.82
F2 0.5000 0.0000 0.0000  2 Fe 2.00
O1 0.0000 0.0000 0.5000  2 Fe 1.94
Fe1 0.0000 0.0000 0.0000  2 O 1.94, 4 F 2.00

(10)
Compound: FeCoOF
Source: the Alexandria database
Functional: PBE with a Hubbard U
Structure: optimized geometry

Lattice parameters (Å, degrees): 3.0022 3.0224 12.3926 90.00 102.32 90.00
With the nearest neighbours (Å) after each atom.
Element x y z (fractional)
Co1 0.9224 0.0000 0.7087  1 F 1.85, 1 O 1.86
F1 0.0172 0.0000 0.8614  1 Co 1.85, 1 Fe 2.01
O1 0.8083 0.0000 0.5552  1 Co 1.86
F2 0.0172 0.5000 0.3614  1 Co 1.85, 1 Fe 2.01
Fe1 0.2915 0.0000 0.0244  1 F 2.01, 4 O 2.14-2.18
Fe2 0.2915 0.5000 0.5244  1 F 2.01, 4 O 2.14-2.18
Co2 0.9224 0.5000 0.2087  1 F 1.85, 1 O 1.86
O2 0.8083 0.5000 0.0552  1 Co 1.86

(11)
Compound: FeCoOF
Source: the Alexandria database
Functional: PBE with a Hubbard U
Structure: optimized geometry

Lattice parameters (Å, degrees): 2.9255 3.0391 11.6938 90.00 90.00 90.00
With the nearest neighbours (Å) after each atom.
Element x y z (fractional)
Co1 0.0000 0.0000 0.2803  1 O 1.89, 2 F 2.10
F1 0.5000 0.0000 0.1510  1 Fe 2.03, 2 Co 2.10
Co2 0.0000 0.5000 0.7803  1 O 1.89, 2 F 2.10
F2 0.5000 0.5000 0.6510  1 Fe 2.03, 2 Co 2.10
O1 0.0000 0.5000 0.9419  1 Co 1.89
O2 0.0000 0.0000 0.4419  1 Co 1.89
Fe1 0.5000 0.0000 0.9772  1 F 2.03, 4 O 2.15
Fe2 0.5000 0.5000 0.4772  1 F 2.03, 4 O 2.15

(12)
Compound: FeCoOF
Source: the Alexandria database
Functional: PBE with a Hubbard U
Structure: optimized geometry

Lattice parameters (Å, degrees): 3.3146 3.3116 6.1457 74.35 90.27 60.06
With the nearest neighbours (Å) after each atom.
Element x y z (fractional)
Co1 0.1373 0.2897 0.4318  1 O 1.85, 1 F 1.92
Fe1 0.6562 0.2490 0.9924  3 O 2.04-2.05
O1 0.0282 0.5015 0.1144  1 Co 1.85, 3 Fe 2.04-2.05
F1 0.2486 0.0696 0.7606  1 Co 1.92

Values for total energy, eV per atom, ordered as above
-5.006, -4.948, -4.979, -5.011, -4.789, -5.036, -5.024, -5.036, -5.093, -5.547, -5.487, -5.598